# 1
# HfCdO3 | the Open Quantum Materials Database | PBE | optimized geometry
data_HfCdO3
_chemical_formula_sum 'Hf6 Cd6 O18'
_space_group_name_H-M_alt 'R -3 c'
_space_group_IT_number 167
_space_group_name_Hall '-R 3 2"c'
_cell_length_a 5.5713
_cell_length_b 5.5713
_cell_length_c 13.9898
_cell_angle_alpha 90.00
_cell_angle_beta 90.00
_cell_angle_gamma 120.00
loop_
_atom_site_label
_atom_site_fract_x
_atom_site_fract_y
_atom_site_fract_z
Hf1 0.0000 0.0000 0.0000
Cd1 0.0000 0.0000 0.2500
O1 0.0000 0.3931 0.2500
# V: 12.5 A^3/atom
# uncorrected energy: -38.291 eV per formula unit

# 2
# PrMgNi | the Open Quantum Materials Database | PBE | optimized geometry
data_PrMgNi
_chemical_formula_sum 'Pr4 Mg4 Ni4'
_space_group_name_H-M_alt 'F -4 3 m'
_space_group_IT_number 216
_space_group_name_Hall 'F -4 2 3'
_cell_length_a 6.7935
_cell_length_b 6.7935
_cell_length_c 6.7935
_cell_angle_alpha 90.00
_cell_angle_beta 90.00
_cell_angle_gamma 90.00
loop_
_atom_site_label
_atom_site_fract_x
_atom_site_fract_y
_atom_site_fract_z
Pr1 0.0000 0.0000 0.0000
Mg1 0.2500 0.2500 0.7500
Ni1 0.2500 0.2500 0.2500
# V: 26.1 A^3/atom
# uncorrected energy: -10.147 eV per formula unit

# 3
# LiCuNiW | the Open Quantum Materials Database | PBE | optimized geometry
data_LiCuNiW
_chemical_formula_sum 'Li4 Cu4 Ni4 W4'
_space_group_name_H-M_alt 'F -4 3 m'
_space_group_IT_number 216
_space_group_name_Hall 'F -4 2 3'
_cell_length_a 5.7663
_cell_length_b 5.7663
_cell_length_c 5.7663
_cell_angle_alpha 90.00
_cell_angle_beta 90.00
_cell_angle_gamma 90.00
loop_
_atom_site_label
_atom_site_fract_x
_atom_site_fract_y
_atom_site_fract_z
Li1 0.0000 0.0000 0.0000
Cu1 0.2500 0.2500 0.2500
Ni1 0.0000 0.0000 0.5000
W1 0.2500 0.2500 0.7500
# excess energy over the best structure of this formula in the dataset: 0.001 eV/atom
# V: 12.0 A^3/atom

> V of number 2 (PrMgNi)?

26.1 A^3/atom